Record 1
The following is a DFT calculation (PBE) of a relaxed Tb5Nd2Th crystal.

Formation energy (eV/atom): 0.03
Volume (Å³ per cell): 526.02
Electronic total energy (eV per formula unit): -39.88

Unit cell a=7.171 b=14.367 c=5.106 alpha=90.00 beta=90.00 gamma=90.00
Space group Pbam (No. 55)
One atom of each set of equivalent atoms:
Tb 0.000 0.000 0.000
Tb 0.005 0.251 0.000
Tb 0.241 0.622 0.500
Nd 0.248 0.377 0.500
Th 0.000 0.500 0.000

***

Record 2
The following is a DFT calculation (PBE) of a relaxed TbNdTh crystal.

Excess energy over the best structure of this formula in the dataset (meV/atom): 7.7
Formation energy (eV/atom): 0.03
Volume (Å³ per cell): 199.42
Electronic total energy (eV per formula unit): -16.73

Unit cell a=3.619 b=3.619 c=15.230 alpha=90.00 beta=90.00 gamma=90.00
Space group I4mm (No. 107)
One atom of each set of equivalent atoms:
Tb 0.000 0.000 0.000
Nd 0.000 0.000 0.318
Th 0.000 0.000 0.656

***

Record 3
The following is a DFT calculation (PBE) of a relaxed Tb7Nd2Th crystal.

Formation energy (eV/atom): 0.16
Volume (Å³ per cell): 664.82
Electronic total energy (eV per formula unit): -47.75

Unit cell a=6.615 b=28.893 c=3.478 alpha=90.00 beta=90.00 gamma=90.00
Space group Cmmm (No. 65)
One atom of each set of equivalent atoms:
Tb 0.000 0.000 0.000
Tb 0.000 0.313 0.500
Tb 0.244 0.403 0.000
Nd 0.000 0.205 0.000
Th 0.000 0.500 0.500

***

Record 4
The following is a DFT calculation (PBE) of a relaxed Tb6NdTh crystal.

Excess energy over the best structure of this formula in the dataset (meV/atom): 194.1
Formation energy (eV/atom): 0.22
Volume (Å³ per cell): 261.74
Electronic total energy (eV per formula unit): -38.21

Unit cell a=6.573 b=6.766 c=6.865 alpha=61.69 beta=78.26 gamma=89.57
Space group P-1 (No. 2)
One atom of each set of equivalent atoms:
Tb 0.228 0.408 0.021
Tb 0.246 0.958 0.497
Tb 0.267 0.926 0.981
Nd 0.500 0.500 0.500
Th 0.000 0.500 0.500

***

Record 5
The following is a DFT calculation (PBE) of a relaxed Tb3Nd4Th crystal.

Excess energy over the best structure of this formula in the dataset (meV/atom): 0.0
Formation energy (eV/atom): 0.17
Volume (Å³ per cell): 545.37
Electronic total energy (eV per formula unit): -39.05

Unit cell a=23.705 b=3.484 c=6.893 alpha=90.00 beta=106.68 gamma=90.00
Space group C2/m (No. 12)
One atom of each set of equivalent atoms:
Tb 0.000 0.000 0.000
Tb 0.122 0.000 0.384
Nd 0.122 0.000 0.861
Nd 0.242 0.500 0.736
Th 0.000 0.500 0.500

***

Record 6
The following is a DFT calculation (PBE) of a relaxed Tb3NdTh3 crystal.

Formation energy (eV/atom): 0.07
Volume (Å³ per cell): 462.11
Electronic total energy (eV per formula unit): -40.41

Unit cell a=9.5331 b=9.5331 c=5.8715 alpha=90.00 beta=90.00 gamma=120.00
Space group P6_3/m (No. 176)
One atom of each set of equivalent atoms:
Tb 0.0428 0.2387 0.2500
Nd 0.3333 0.6667 0.2500
Th 0.1013 0.4853 0.7500

***

Record 7
The following is a DFT calculation (PBE) of a relaxed Tb2Nd4Th crystal.

Excess energy over the best structure of this formula in the dataset (meV/atom): 0.0
Formation energy (eV/atom): 0.04
Volume (Å³ per cell): 475.94
Electronic total energy (eV per formula unit): -35.47

Unit cell a=6.307 b=3.644 c=20.819 alpha=90.00 beta=95.88 gamma=90.00
Space group Cm (No. 8)
One atom of each set of equivalent atoms:
Tb 0.000 0.000 0.000
Tb 0.096 0.000 0.283
Nd 0.293 0.000 0.860
Nd 0.314 0.500 0.426
Nd 0.384 0.000 0.142
Nd 0.409 0.500 0.711
Th 0.198 0.000 0.569

***

Record 8
The following is a DFT calculation (PBE) of a relaxed Tb2Nd5Th3 crystal.

Formation energy (eV/atom): 0.05
Volume (Å³ per cell): 672.77
Electronic total energy (eV per formula unit): -54.83

Unit cell a=11.501 b=5.103 c=11.464 alpha=90.00 beta=90.13 gamma=90.00
Space group C2/m (No. 12)
One atom of each set of equivalent atoms:
Tb 0.098 0.000 0.206
Nd 0.000 0.500 0.000
Nd 0.198 0.000 0.896
Nd 0.199 0.500 0.401
Th 0.000 0.000 0.500
Th 0.097 0.500 0.698

***

Record 9
The following is a DFT calculation (PBE) of a relaxed Tb6Nd5Th2 crystal.

Formation energy (eV/atom): 0.11
Volume (Å³ per cell): 882.89
Electronic total energy (eV per formula unit): -65.05

Unit cell a=11.611 b=21.082 c=3.607 alpha=90.00 beta=90.00 gamma=90.00
Space group Pbam (No. 55)
One atom of each set of equivalent atoms:
Tb 0.063 0.148 0.000
Tb 0.081 0.438 0.000
Tb 0.186 0.876 0.500
Nd 0.000 0.000 0.500
Nd 0.063 0.294 0.500
Nd 0.191 0.579 0.500
Th 0.191 0.736 0.000

***

Record 10
The following is a DFT calculation (PBE) of a relaxed TbNd4Th crystal.

Excess energy over the best structure of this formula in the dataset (meV/atom): 204.8
Formation energy (eV/atom): 0.24
Volume (Å³ per cell): 831.26
Electronic total energy (eV per formula unit): -29.66

Unit cell a=6.587 b=11.297 c=11.172 alpha=90.00 beta=90.00 gamma=90.00
Space group Cmcm (No. 63)
One atom of each set of equivalent atoms:
Tb 0.000 0.171 0.250
Nd 0.000 0.328 0.561
Nd 0.246 0.419 0.250
Th 0.000 0.000 0.000

***

Record 11
The following is a DFT calculation (PBE) of a relaxed Tb6NdTh8 crystal.

Formation energy (eV/atom): 0.14
Volume (Å³ per cell): 1465.07
Electronic total energy (eV per formula unit): -89.81

Unit cell a=8.8515 b=8.8515 c=21.5922 alpha=90.00 beta=90.00 gamma=120.00
Space group R-3 (No. 148, hexagonal axes)
One atom of each set of equivalent atoms:
Tb 0.0192 0.7772 0.2086
Nd 0.0000 0.0000 0.5000
Th 0.0000 0.0000 0.0770
Th 0.0563 0.2564 0.6366

***

Record 12
The following is a DFT calculation (PBE) of a relaxed Tb12NdTh2 crystal.

Formation energy (eV/atom): 0.36
Volume (Å³ per cell): 1031.66
Electronic total energy (eV per formula unit): -69.84

Unit cell a=6.433 b=6.433 c=24.929 alpha=90.00 beta=90.00 gamma=90.00
Space group P4/nbm (No. 125, origin choice 2)
One atom of each set of equivalent atoms:
Tb 0.064 0.564 0.118
Tb 0.081 0.581 0.439
Tb 0.250 0.250 0.217
Tb 0.250 0.250 0.339
Nd 0.250 0.750 0.000
Th 0.250 0.750 0.270